(1)
Ac5SmEr | PBE | optimized geometry

The structure in POSCAR format:
```
Ac5SmEr
1.0
-1.447 2.706 6.226
6.389 -3.096 1.075
4.855 11.747 -0.107
Ac Sm Er
10 2 2
Direct
0.217 0.341 0.094
0.175 0.499 0.594
0.363 0.750 0.275
0.231 0.001 0.594
0.311 0.841 0.906
0.689 0.159 0.094
0.769 0.999 0.406
0.637 0.250 0.725
0.825 0.501 0.406
0.783 0.659 0.906
0.330 0.250 0.341
0.670 0.750 0.659
0.079 0.250 0.841
0.921 0.750 0.159
```

formation energy from the elements = 0.23 eV per atom


(2)
PmDyYTm | PBE | optimized geometry

The structure in POSCAR format:
```
PmDyYTm
1.0
5.046 0.000 0.000
0.000 5.048 0.000
-2.523 -2.524 5.022
Pm Dy Y Tm
1 1 1 1
Direct
0.120 0.120 0.240
0.870 0.370 0.740
0.370 0.870 0.739
0.620 0.620 0.239
```

formation energy from the elements = 0.02 eV per atom
ΔE to the lowest computed polymorph = 0 meV/atom


(3)
MgZnTcSeO | PBE | optimized geometry

The structure in POSCAR format:
```
MgZnTcSeO
1.0
6.994 0.000 0.046
0.000 3.200 0.000
-6.410 0.000 7.536
Mg Zn Tc Se O
2 2 2 2 2
Direct
0.708 0.000 0.044
0.708 0.500 0.544
0.005 0.000 0.925
0.005 0.500 0.425
0.205 0.000 0.695
0.205 0.500 0.195
0.490 0.000 0.218
0.490 0.500 0.718
0.896 0.000 0.688
0.896 0.500 0.188
```

formation energy without anion corrections = -659 meV per atom
ΔE to the lowest computed polymorph = 374 meV/atom


(4)
Y2HoSe | PBE | optimized geometry

The structure in POSCAR format:
```
Y2HoSe
1.0
-0.359 3.594 -0.897
-2.940 1.935 1.208
4.103 4.472 8.555
Y Ho Se
2 1 1
Direct
0.108 0.108 0.675
0.892 0.892 0.325
0.000 0.000 0.000
0.500 0.500 0.500
```

formation energy without anion corrections = -553 meV per atom
ΔE to the lowest computed polymorph = 274 meV/atom


(5)
Pm2CuP4Pt3 | PBE | optimized geometry

The structure in POSCAR format:
```
Pm2CuP4Pt3
1.0
-3.960 1.107 -1.246
-1.562 -3.589 1.774
-1.286 4.598 8.170
Pm Cu P Pt
2 1 4 3
Direct
0.500 0.000 0.248
0.000 0.500 0.752
0.500 0.500 0.500
0.500 0.500 0.000
0.000 0.000 0.000
0.500 0.000 0.629
0.000 0.500 0.371
0.000 0.000 0.500
0.500 0.000 0.884
0.000 0.500 0.116
```

formation energy from the elements = -0.93 eV per atom


(6)
TbPm3Pr2As6 | PBE | optimized geometry

The structure in POSCAR format:
```
TbPm3Pr2As6
1.0
-0.342 -4.121 0.974
6.444 -1.772 -5.237
4.376 3.625 7.605
Tb Pm Pr As
1 3 2 6
Direct
0.500 0.000 0.000
0.500 0.500 0.000
0.833 0.166 0.666
0.167 0.834 0.334
0.834 0.668 0.669
0.166 0.332 0.331
0.335 0.921 0.670
0.666 0.586 0.332
0.665 0.079 0.330
0.999 0.245 0.997
0.001 0.755 0.003
0.334 0.414 0.668
```

formation energy from the elements = -1.51 eV per atom


(7)
HfTa2W | PBE | optimized geometry

The structure in POSCAR format:
```
HfTa2W
1.0
3.272 0.000 0.000
0.000 3.272 0.000
0.000 0.000 6.935
Hf W Ta
1 1 2
Direct
0.500 0.500 0.500
0.500 0.500 0.000
0.000 0.000 0.775
0.000 0.000 0.225
```

formation energy from the elements = 0.03 eV per atom
ΔE to the lowest computed polymorph = 0 meV/atom


(8)
La2CdW | PBE | optimized geometry

The structure in POSCAR format:
```
La2CdW
1.0
3.810 0.000 0.000
0.000 5.297 0.000
0.000 0.000 5.297
Cd W La
1 1 2
Direct
0.500 0.000 0.500
0.500 0.500 0.000
0.000 0.000 0.000
0.000 0.500 0.500
```

formation energy from the elements = 0.41 eV per atom